one | {
  "formula": "Re2AsBr",
  "functional": "PBE-GGA",
  "state": "optimized geometry",
  "dos_ef_per_ev_atom": 0.597,
  "vol_a3_per_atom": 17.19,
  "magmom_total_mub_per_atom": 0.0000,
  "density_g_cm3": 12.729,
  "cell": [[5.825, 0.002, -0.002], [3.330, 4.779, 0.002], [-4.079, -3.344, 2.471]],
  "species": ["Re", "Re", "Br", "As"],
  "fractional_positions": [[0.955, 0.955, 0.000], [0.545, 0.545, 0.000], [0.250, 0.750, 0.500], [0.750, 0.250, 0.500]]
}


two | {
  "formula": "Re2AsBr",
  "functional": "PBE-GGA",
  "state": "optimized geometry",
  "dos_ef_per_ev_atom": 0.887,
  "vol_a3_per_atom": 23.09,
  "magmom_total_mub_per_atom": 0.0000,
  "density_g_cm3": 9.480,
  "cell": [[-2.722, 1.670, 2.758], [-3.575, -1.089, 1.960], [2.257, -2.816, 7.322]],
  "species": ["As", "Re", "Re", "Br"],
  "fractional_positions": [[0.576, 0.576, 0.388], [0.914, 0.914, 0.227], [0.224, 0.224, 0.075], [0.785, 0.785, 0.811]]
}


Least stable: one


one | {
  "formula": "Re2AsBr",
  "functional": "PBE-GGA",
  "state": "optimized geometry",
  "dos_ef_per_ev_atom": 0.934,
  "vol_a3_per_atom": 15.48,
  "magmom_total_mub_per_atom": 0.0000,
  "density_g_cm3": 14.138,
  "cell": [[0.000, 3.140, 3.140], [3.140, 0.000, 3.140], [3.140, 3.140, 0.000]],
  "species": ["Re", "Re", "Br", "As"],
  "fractional_positions": [[0.750, 0.750, 0.750], [0.250, 0.250, 0.250], [0.500, 0.500, 0.500], [0.000, 0.000, 0.000]]
}


two | {
  "formula": "Re2AsBr",
  "functional": "PBE-GGA",
  "state": "optimized geometry",
  "dos_ef_per_ev_atom": 0.920,
  "vol_a3_per_atom": 20.87,
  "magmom_total_mub_per_atom": 0.0000,
  "density_g_cm3": 10.487,
  "cell": [[-1.943, 1.687, -1.552], [-2.179, -0.701, 1.967], [1.178, 6.961, 6.093]],
  "species": ["Re", "Re", "As", "Br"],
  "fractional_positions": [[0.000, 0.789, 0.047], [0.500, 0.201, 0.223], [0.000, 0.610, 0.406], [0.500, 0.900, 0.825]]
}


Least stable: one


one | {
  "formula": "ReAs2SBr",
  "functional": "PBE-GGA",
  "state": "optimized geometry",
  "dos_ef_per_ev_atom": 0.705,
  "vol_a3_per_atom": 20.52,
  "magmom_total_mub_per_atom": 0.5884,
  "density_g_cm3": 7.252,
  "cell": [[-3.175, 3.416, -0.504], [-1.521, -0.769, 4.370], [3.081, 3.102, 1.618]],
  "species": ["Br", "As", "As", "S", "Re"],
  "fractional_positions": [[0.000, 0.000, 0.500], [0.500, 0.000, 0.000], [0.000, 0.500, 0.000], [0.000, 0.000, 0.000], [0.500, 0.500, 0.500]]
}


two | {
  "formula": "ReAs2SBr",
  "functional": "PBE-GGA",
  "state": "optimized geometry",
  "dos_ef_per_ev_atom": 0.880,
  "vol_a3_per_atom": 23.15,
  "magmom_total_mub_per_atom": 0.0004,
  "density_g_cm3": 6.426,
  "cell": [[4.826, 0.000, 0.000], [0.000, 4.826, 0.000], [0.000, 0.000, 4.970]],
  "species": ["As", "As", "Re", "Br", "S"],
  "fractional_positions": [[0.000, 0.500, 0.000], [0.500, 0.000, 0.000], [0.000, 0.000, 0.000], [0.000, 0.000, 0.500], [0.500, 0.500, 0.500]]
}


Least stable: one